An optimized crystal structure of Pu2CoNiO8. Source: Alexandria, functional PBE with a Hubbard U.

Structure (POSCAR):
```
Pu2CoNiO8
1.0
5.8269 0.5346 0.0000
-2.1052 5.4596 0.0000
-1.8609 -2.9971 4.6683
O Ni Pu Co
8 1 2 1
Cartesian
3.2520 2.5163 1.4355
0.4697 3.4779 1.4355
1.8560 1.2845 3.7691
1.5328 0.7639 0.8992
1.0479 -1.0336 3.2328
-1.8560 -1.2845 3.7691
2.1890 5.2303 0.8992
-1.0479 1.0336 3.2328
0.0000 0.0000 0.0000
1.8609 2.9971 0.0000
2.9134 0.2673 2.3342
-1.0526 2.7298 2.3342
```

Values from the calculation:
D(E_F) (states/eV/atom): 0.74
Total magnetization (μB/cell): 9.00
Energy (eV per atom): -8.212
Space-group type: I-4m2, No. 119